1.
The following is a DFT calculation (GGA-PBE) of a relaxed structure of NpPaCrTc.

Cell and atoms, written as POSCAR:
```
NpPaCrTc
1.0
0.000 3.378 3.378
3.378 0.000 3.378
3.378 3.378 0.000
Np Pa Cr Tc
1 1 1 1
direct
0.000 0.000 0.000
0.500 0.500 0.500
0.250 0.250 0.250
0.750 0.750 0.750
```

Calculated values
The magnetic moment comes out at 0.476 μB/atom. The volume comes out at 19.27 Å³ per atom. As for the formation energy: 1.02 eV/f.u.



2.
The following is a DFT calculation (GGA-PBE) of a relaxed structure of Cs2MgCd3Hg12.

Cell and atoms, written as POSCAR:
```
Cs2MgCd3Hg12
1.0
4.589 2.649 9.985
-4.589 2.649 9.985
0.000 -5.298 9.985
Cs Mg Cd Hg
2 1 3 12
direct
0.138 0.138 0.138
0.862 0.862 0.862
0.500 0.500 0.500
0.000 0.500 0.500
0.500 0.000 0.500
0.500 0.500 0.000
0.146 0.146 0.505
0.146 0.505 0.146
0.185 0.558 0.558
0.442 0.442 0.815
0.442 0.815 0.442
0.495 0.854 0.854
0.505 0.146 0.146
0.558 0.185 0.558
0.558 0.558 0.185
0.815 0.442 0.442
0.854 0.495 0.854
0.854 0.854 0.495
```

Calculated values
The magnetic moment comes out at 0.000 μB/atom. The volume comes out at 40.46 Å³ per atom. As for the formation energy: -0.85 eV/f.u.



3.
The following is a DFT calculation (GGA-PBE) of a relaxed structure of ZnMoRh2.

Cell and atoms, written as POSCAR:
```
ZnMoRh2
1.0
4.461 -1.370 0.000
4.461 1.370 0.000
-0.804 0.000 4.742
Zn Mo Rh
1 1 2
direct
0.000 0.000 0.000
0.500 0.500 0.500
0.251 0.251 0.749
0.749 0.749 0.251
```

Calculated values
The magnetic moment comes out at 0.000 μB/atom. The volume comes out at 14.49 Å³ per atom. As for the formation energy: -0.44 eV/f.u.



Look up the magnetic moment of the third one.
0.000 μB/atom